The following is a DFT calculation (PBE) of crystalline ZnGa3Pb at its relaxed geometry.

Unit cell a=6.399 b=5.983 c=6.691 alpha=63.45 beta=70.79 gamma=90.00
Fractional coordinates of all 10 atoms:
Zn 0.582 0.471 0.521
Zn 0.155 0.346 0.769
Ga 0.812 0.903 0.118
Ga 0.860 0.141 0.652
Ga 0.812 0.441 0.118
Ga 0.860 0.669 0.652
Ga 0.516 0.233 0.996
Ga 0.089 0.106 0.249
Pb 0.278 0.625 0.213
Pb 0.430 0.949 0.565

Values from the calculation:
- E above lowest polymorph (eV/atom) = 0.000
- space-group type = No. 8
- density of states at the Fermi level (states/eV/atom) = 0.341
- formation enthalpy at 0 K (eV per atom) = 0.050
- total magnetization (μB/f.u.) = 0.000